The following is a DFT calculation (GGA-PBE) of a relaxed PrZrSe4 crystal.

a b c (Å): 8.004 8.004 7.282
angles (deg): 111.60 111.60 51.29
Atoms (fractional coordinates):
Pr 0.184 0.816 0.750
Pr 0.816 0.184 0.250
Zr 0.000 0.500 0.000
Zr 0.500 0.000 0.500
Se 0.124 0.196 0.652
Se 0.196 0.124 0.152
Se 0.346 0.490 0.078
Se 0.490 0.346 0.578
Se 0.510 0.654 0.422
Se 0.654 0.510 0.922
Se 0.804 0.876 0.848
Se 0.876 0.804 0.348

Electronic total energy ... -34.70 eV/f.u.
Formation energy without anion corrections ... -1240 meV/atom

The following is a DFT calculation (GGA-PBE) of a relaxed KPrTe2 crystal.

a b c (Å): 4.000 4.000 8.583
angles (deg): 90.00 90.00 90.00
Atoms (fractional coordinates):
K 0.000 0.000 0.000
Pr 0.000 0.000 0.500
Te 0.500 0.500 0.284
Te 0.500 0.500 0.716

Electronic total energy ... -17.12 eV/f.u.
Formation energy without anion corrections ... -1240 meV/atom

The following is a DFT calculation (GGA-PBE) of a relaxed Mg2MnTc crystal.

a b c (Å): 2.983 2.983 7.243
angles (deg): 90.00 90.00 90.00
Atoms (fractional coordinates):
Mg 0.000 0.000 0.000
Mg 0.500 0.500 0.322
Mn 0.000 0.000 0.566
Tc 0.500 0.500 0.739

Distance to the lowest polymorph of the same formula ... 0.0 meV/atom
Electronic total energy ... -22.43 eV/f.u.